# Rb3Er3SnS8 (PBE, optimized geometry)
# energy relative to the elements, uncorrected	-1.558	eV/atom
data_Rb3Er3SnS8
_cell_length_a 7.9330
_cell_length_b 7.9330
_cell_length_c 23.5548
_cell_angle_alpha 90.00
_cell_angle_beta 90.00
_cell_angle_gamma 120.00
_space_group_name_H-M_alt 'R -3 m'
_space_group_IT_number 166
_space_group_name_Hall '-R 3 2"'
loop_
_atom_site_label
_atom_site_type_symbol
_atom_site_fract_x
_atom_site_fract_y
_atom_site_fract_z
Rb1 Rb 0.0000 0.5000 0.0000
Er1 Er 0.0000 0.5000 0.5000
Sn1 Sn 0.0000 0.0000 0.5000
S1 S 0.0000 0.0000 0.2293
S2 S 0.0130 0.5065 0.2283



# Rb2ErSnS5 (PBE, optimized geometry)
# energy relative to the elements, uncorrected	-1.039	eV/atom
# DOS(E_F)	14.48	states/eV/cell
data_Rb2ErSnS5
_cell_length_a 3.970
_cell_length_b 19.641
_cell_length_c 14.563
_cell_angle_alpha 90.00
_cell_angle_beta 90.00
_cell_angle_gamma 90.00
_space_group_name_H-M_alt 'C m c 21'
_space_group_IT_number 36
_space_group_name_Hall 'C 2c -2'
loop_
_atom_site_label
_atom_site_type_symbol
_atom_site_fract_x
_atom_site_fract_y
_atom_site_fract_z
Rb1 Rb 0.000 0.122 0.000
Rb2 Rb 0.000 0.142 0.634
Er1 Er 0.000 0.203 0.342
Sn1 Sn 0.000 0.442 0.738
S1 S 0.000 0.049 0.344
S2 S 0.000 0.299 0.961
S3 S 0.000 0.320 0.706
S4 S 0.000 0.334 0.324
S5 S 0.000 0.496 0.102



# Rb2ErSnS4 (PBE, optimized geometry)
# energy relative to the elements, uncorrected	-1.079	eV/atom
# DOS(E_F)	33.40	states/eV/cell
data_Rb2ErSnS4
_cell_length_a 6.754
_cell_length_b 14.768
_cell_length_c 24.017
_cell_angle_alpha 90.00
_cell_angle_beta 90.00
_cell_angle_gamma 90.00
_space_group_name_H-M_alt 'F d d d'
_space_group_IT_number 70
loop_
_space_group_symop_operation_xyz
'x,y,z'
'-x,-y,-z'
'-x+1/4,-y+1/4,z'
'x+1/4,y+1/4,-z'
'x,-y+1/4,-z+1/4'
'-x,y+1/4,z+1/4'
'-x+1/4,y,-z+1/4'
'x+1/4,-y,z+1/4'
'x,y+1/2,z+1/2'
'-x,-y+1/2,-z+1/2'
'-x+1/4,-y+3/4,z+1/2'
'x+1/4,y+3/4,-z+1/2'
'x,-y+3/4,-z+3/4'
'-x,y+3/4,z+3/4'
'-x+1/4,y+1/2,-z+3/4'
'x+1/4,-y+1/2,z+3/4'
'x+1/2,y,z+1/2'
'-x+1/2,-y,-z+1/2'
'-x+3/4,-y+1/4,z+1/2'
'x+3/4,y+1/4,-z+1/2'
'x+1/2,-y+1/4,-z+3/4'
'-x+1/2,y+1/4,z+3/4'
'-x+3/4,y,-z+3/4'
'x+3/4,-y,z+3/4'
'x+1/2,y+1/2,z'
'-x+1/2,-y+1/2,-z'
'-x+3/4,-y+3/4,z'
'x+3/4,y+3/4,-z'
'x+1/2,-y+3/4,-z+1/4'
'-x+1/2,y+3/4,z+1/4'
'-x+3/4,y+1/2,-z+1/4'
'x+3/4,-y+1/2,z+1/4'
loop_
_atom_site_label
_atom_site_type_symbol
_atom_site_fract_x
_atom_site_fract_y
_atom_site_fract_z
Rb1 Rb 0.125 0.125 0.308
Er1 Er 0.125 0.125 0.125
Sn1 Sn 0.125 0.125 0.625
S1 S 0.122 0.275 0.428



# Rb3SrEr2S6 (PBE, optimized geometry)
# energy relative to the elements, uncorrected	-1.659	eV/atom
# DOS(E_F)	24.79	states/eV/cell
data_Rb3SrEr2S6
_cell_length_a 7.209
_cell_length_b 12.487
_cell_length_c 8.058
_cell_angle_alpha 90.00
_cell_angle_beta 107.43
_cell_angle_gamma 90.00
_space_group_name_H-M_alt 'C 1 2/m 1'
_space_group_IT_number 12
_space_group_name_Hall '-C 2y'
loop_
_atom_site_label
_atom_site_type_symbol
_atom_site_fract_x
_atom_site_fract_y
_atom_site_fract_z
Rb1 Rb 0.000 0.000 0.000
Rb2 Rb 0.000 0.338 0.000
Sr1 Sr 0.000 0.500 0.500
Er1 Er 0.000 0.167 0.500
S1 S 0.207 0.000 0.693
S2 S 0.244 0.321 0.695



# Rb3Er3TaS8 (PBE, optimized geometry)
# energy relative to the elements, uncorrected	-1.647	eV/atom
# DOS(E_F)	12.23	states/eV/cell
data_Rb3Er3TaS8
_cell_length_a 7.8129
_cell_length_b 7.8129
_cell_length_c 23.5543
_cell_angle_alpha 90.00
_cell_angle_beta 90.00
_cell_angle_gamma 120.00
_space_group_name_H-M_alt 'R -3 m'
_space_group_IT_number 166
_space_group_name_Hall '-R 3 2"'
loop_
_atom_site_label
_atom_site_type_symbol
_atom_site_fract_x
_atom_site_fract_y
_atom_site_fract_z
Rb1 Rb 0.0000 0.5000 0.0000
Er1 Er 0.0000 0.5000 0.5000
Ta1 Ta 0.0000 0.0000 0.5000
S1 S 0.0000 0.0000 0.2305
S2 S 0.0225 0.5112 0.2272



# RbTbEr4S8 (PBE, optimized geometry)
# energy relative to the elements, uncorrected	-1.897	eV/atom
# DOS(E_F)	0.00	states/eV/cell
data_RbTbEr4S8
_cell_length_a 8.2006
_cell_length_b 8.2006
_cell_length_c 20.2832
_cell_angle_alpha 90.00
_cell_angle_beta 90.00
_cell_angle_gamma 120.00
_space_group_name_H-M_alt 'R 3 m'
_space_group_IT_number 160
_space_group_name_Hall 'R 3 -2"'
loop_
_atom_site_label
_atom_site_type_symbol
_atom_site_fract_x
_atom_site_fract_y
_atom_site_fract_z
Rb1 Rb 0.0000 0.0000 0.0000
Tb1 Tb 0.0000 0.0000 0.6322
Er1 Er 0.0000 0.0000 0.2524
Er2 Er 0.1727 0.3454 0.4589
S1 S 0.0000 0.0000 0.3842
S2 S 0.0000 0.0000 0.8572
S3 S 0.0486 0.5243 0.3850
S4 S 0.1755 0.3509 0.2077